# 1
# GGA-PBE TbPr7Er12, relaxed
# * energy: -0.162 hartree per atom
# * V: 2021.20 Å³ per cell
data_TbPr7Er12
_chemical_formula_sum 'Tb3 Pr21 Er36'
_symmetry_space_group_name_H-M 'R -3'
_symmetry_Int_Tables_number 148
_symmetry_space_group_name_Hall '-R 3'
_cell_length_a 11.9794
_cell_length_b 11.9794
_cell_length_c 16.2633
_cell_angle_alpha 90.00
_cell_angle_beta 90.00
_cell_angle_gamma 120.00
loop_
_atom_site_label
_atom_site_type_symbol
_atom_site_fract_x
_atom_site_fract_y
_atom_site_fract_z
Tb1 Tb 0.0000 0.0000 0.0000
Pr1 Pr 0.0000 0.0000 0.5000
Pr2 Pr 0.0550 0.8685 0.7880
Er1 Er 0.0257 0.5774 0.7215
Er2 Er 0.0527 0.4667 0.0830

# 2
# GGA-PBE Tb3Pr8Er2, relaxed
# * energy: -0.166 hartree per atom
# * V: 461.64 Å³ per cell
data_Tb3Pr8Er2
_chemical_formula_sum 'Tb3 Pr8 Er2'
_symmetry_space_group_name_H-M 'P 1 2/m 1'
_symmetry_Int_Tables_number 10
_cell_length_a 7.768
_cell_length_b 5.803
_cell_length_c 10.951
_cell_angle_alpha 90.00
_cell_angle_beta 110.75
_cell_angle_gamma 90.00
loop_
_symmetry_equiv_pos_as_xyz
'x,y,z'
'-x,-y,-z'
'-x,y,-z'
'x,-y,z'
loop_
_atom_site_label
_atom_site_type_symbol
_atom_site_fract_x
_atom_site_fract_y
_atom_site_fract_z
Tb1 Tb 0.000 0.000 0.000
Tb2 Tb 0.285 0.500 0.000
Pr1 Pr 0.132 0.500 0.263
Pr2 Pr 0.188 0.000 0.787
Pr3 Pr 0.325 0.500 0.651
Pr4 Pr 0.401 0.000 0.213
Er1 Er 0.240 0.000 0.480

# 3
# GGA-PBE Tb3Pr3Er5, relaxed
# * energy: -0.141 hartree per atom
# * V: 440.01 Å³ per cell
data_Tb3Pr3Er5
_chemical_formula_sum 'Tb3 Pr3 Er5'
_symmetry_space_group_name_H-M 'P -6 2 m'
_symmetry_Int_Tables_number 189
_symmetry_space_group_name_Hall 'P -6 -2'
_cell_length_a 9.6368
_cell_length_b 9.6368
_cell_length_c 5.4710
_cell_angle_alpha 90.00
_cell_angle_beta 90.00
_cell_angle_gamma 120.00
loop_
_atom_site_label
_atom_site_type_symbol
_atom_site_fract_x
_atom_site_fract_y
_atom_site_fract_z
Tb1 Tb 0.0000 0.4594 0.0000
Pr1 Pr 0.0000 0.6345 0.5000
Er1 Er 0.0000 0.2685 0.5000
Er2 Er 0.3333 0.6667 0.5000